# Mn2TlSe

A geometry-optimized Mn2TlSe structure (PBE, Alexandria).

```
Mn2TlSe
1.0
-1.587 -2.210 2.721
0.756 -4.389 -3.124
3.444 -0.530 1.578
Mn Se Tl
2 1 1
Direct
0.000 0.000 0.000
0.500 0.500 0.000
0.500 0.000 0.500
0.000 0.500 0.500
```

As for the uncorrected formation energy: 0.328 eV/atom. The value obtained for the uncorrected energy is -5.72 eV per atom. Its space-group type is Pmmm.

---

# YCd2Ni

A geometry-optimized YCd2Ni structure (PBE, Alexandria).

```
YCd2Ni
1.0
6.156 -0.002 0.048
-3.553 5.027 0.048
0.857 1.655 2.857
Cd Ni Y
2 1 1
Direct
0.500 0.500 0.000
0.000 0.000 0.000
0.500 0.000 0.500
0.000 0.500 0.500
```

The value obtained for the uncorrected energy is -3.46 eV per atom. Its space-group type is C2/m. The calculation puts the formation energy from the elements at 0.0617 eV/atom.

---

# AcAu7O12

A geometry-optimized AcAu7O12 structure (PBE, Alexandria).

```
AcAu7O12
1.0
-1.099 1.847 -6.685
5.937 -3.722 0.454
-5.385 -3.896 2.267
O Au Ac
12 7 1
Direct
0.530 0.694 0.836
0.306 0.836 0.142
0.306 0.164 0.470
0.142 0.306 0.836
0.694 0.164 0.858
0.694 0.836 0.530
0.836 0.142 0.306
0.836 0.530 0.694
0.858 0.694 0.164
0.164 0.470 0.306
0.164 0.858 0.694
0.470 0.306 0.164
0.000 0.000 0.500
0.000 0.500 0.000
0.000 0.500 0.500
0.500 0.000 0.500
0.500 0.000 0.000
0.500 0.500 0.000
0.500 0.500 0.500
0.000 0.000 0.000
```

As for the uncorrected formation energy: -0.402 eV/atom. The value obtained for the uncorrected energy is -4.73 eV per atom. Its space-group type is Im-3.

---

# ScCoSi2

A geometry-optimized ScCoSi2 structure (PBE, Alexandria).

```
ScCoSi2
1.0
4.477 0.024 -0.015
-1.359 4.265 -0.015
0.009 0.013 3.002
Sc Si Co
1 2 1
Direct
0.000 0.500 0.500
0.000 0.000 0.000
0.500 0.500 0.000
0.500 0.000 0.500
```

As for the uncorrected formation energy: -0.222 eV/atom. The value obtained for the uncorrected energy is -6.29 eV per atom. Its space-group type is Cmmm.